(1)
! CdSb2Pd8 | Alexandria via LeMat-Bulk | PBE | relaxed; values from VASP
! E_form (uncorrected)   -4.3 eV per formula unit
! Symmetry   No. 71
! Fermi-level density of states   0.393 states/eV per atom
&SYSTEM
  ibrav = 0, nat = 11, ntyp = 3
/
ATOMIC_SPECIES
Cd 112.41 Cd.upf
Sb 121.76 Sb.upf
Pd 106.42 Pd.upf
CELL_PARAMETERS angstrom
0.018 3.259 -2.626
4.076 -3.911 -4.826
-7.144 -1.755 1.108
ATOMIC_POSITIONS crystal
Cd 0.500 0.000 0.000
Sb 0.183 0.683 0.365
Sb 0.817 0.317 0.635
Pd 0.663 0.892 0.326
Pd 0.337 0.566 0.674
Pd 0.151 0.151 0.302
Pd 0.000 0.294 0.000
Pd 0.849 0.849 0.698
Pd 0.663 0.434 0.326
Pd 0.337 0.108 0.674
Pd 0.000 0.706 0.000

=====

(2)
! DyTm3Hf2N6 | Alexandria via LeMat-Bulk | PBE | relaxed; values from VASP
! E_form (uncorrected)   -21.9 eV per formula unit
! Symmetry   No. 12
! Fermi-level density of states   0.211 states/eV per atom
&SYSTEM
  ibrav = 0, nat = 12, ntyp = 4
/
ATOMIC_SPECIES
Dy 162.50 Dy.upf
Tm 168.93 Tm.upf
Hf 178.49 Hf.upf
N 14.01 N.upf
CELL_PARAMETERS angstrom
3.331 0.000 0.000
0.000 6.690 0.237
-1.665 -1.930 7.009
ATOMIC_POSITIONS crystal
Dy 0.500 0.000 0.000
Tm 0.500 0.500 0.000
Tm 0.833 0.167 0.667
Tm 0.167 0.833 0.333
Hf 0.833 0.666 0.666
Hf 0.167 0.334 0.334
N 0.331 0.900 0.661
N 0.671 0.574 0.343
N 0.669 0.100 0.339
N 0.007 0.258 0.015
N 0.993 0.742 0.985
N 0.329 0.426 0.657

=====

What is the formula in the second record? DyTm3Hf2N6